Here is a geometry-optimized Tl2TcHg structure from Alexandria. Energies are from PBE.

Results
spin magnetization: 2.05 μB/f.u.
N(E_F): 2.06 states/eV per cell
energy relative to the elements: 63 kJ/mol of atoms
energy above the lowest structure with this stoichiometry: 166.2 meV per atom
SG: Cmmm, No. 65
VASP energy: -3.20 eV/atom
crystal system: orthorhombic

Lattice parameters (Å, degrees): 5.350 5.350 3.200 90.00 90.00 95.64
Positions (direct):
Tl 0.000 0.500 0.000
Tl 0.500 0.000 0.000
Tc 0.000 0.000 0.500
Hg 0.500 0.500 0.500